No. 1
Below is Cr3In after structural relaxation, with properties calculated at the PBE-GGA level.

The total energy comes out at -7.494 eV/atom. As for the energy of formation: 0.409 eV/atom.

It has space group Immm (No. 71), with a = 3.049 Å, b = 4.350 Å, c = 8.380 Å, α = 90.00°, β = 90.00° and γ = 90.00°. The asymmetric unit holds Cr at (0.000, 0.000, 0.000), Cr at (0.000, 0.500, 0.272) and In at (0.000, 0.000, 0.500).

No. 2
Below is CrIn2 after structural relaxation, with properties calculated at the PBE-GGA level.

The total energy comes out at -4.690 eV/atom. As for the energy of formation: 0.344 eV/atom.

It has space group I4/mmm (No. 139), with a = 3.194 Å, b = 3.194 Å, c = 12.617 Å, α = 90.00°, β = 90.00° and γ = 90.00°. The asymmetric unit holds Cr at (0.000, 0.000, 0.000) and In at (0.000, 0.000, 0.350).

No. 3
Below is Cr3In after structural relaxation, with properties calculated at the PBE-GGA level.

The total energy comes out at -7.404 eV/atom. As for the energy of formation: 0.498 eV/atom.

It has space group P-6m2 (No. 187), with a = 2.9124 Å, b = 2.9124 Å, c = 7.9266 Å, α = 90.00°, β = 90.00° and γ = 120.00°. The asymmetric unit holds Cr at (0.0000, 0.0000, 0.0000), Cr at (0.3333, 0.6667, 0.2064) and In at (0.0000, 0.0000, 0.5000).

No. 4
Below is Cr3In after structural relaxation, with properties calculated at the PBE-GGA level.

The total energy comes out at -7.556 eV/atom. As for the energy of formation: 0.347 eV/atom.

It has space group I4/mmm (No. 139), with a = 4.411 Å, b = 4.411 Å, c = 12.520 Å, α = 90.00°, β = 90.00° and γ = 90.00°. The asymmetric unit holds Cr at (0.000, 0.000, 0.125), Cr at (0.000, 0.500, 0.000), Cr at (0.000, 0.500, 0.250) and In at (0.000, 0.000, 0.372).

No. 5
Below is Cr3In after structural relaxation, with properties calculated at the PBE-GGA level.

The total energy comes out at -7.567 eV/atom. As for the energy of formation: 0.335 eV/atom.

It has space group Fm-3m (No. 225), with a = 6.242 Å, b = 6.242 Å, c = 6.242 Å, α = 90.00°, β = 90.00° and γ = 90.00°. The asymmetric unit holds Cr at (0.000, 0.000, 0.000), Cr at (0.250, 0.250, 0.250) and In at (0.000, 0.000, 0.500).

No. 6
Below is CrIn4 after structural relaxation, with properties calculated at the PBE-GGA level.

The total energy comes out at -4.007 eV/atom. As for the energy of formation: 0.108 eV/atom.

It has space group Im-3m (No. 229), with a = 6.233 Å, b = 6.233 Å, c = 6.233 Å, α = 90.00°, β = 90.00° and γ = 90.00°. The asymmetric unit holds Cr at (0.000, 0.000, 0.000) and In at (0.250, 0.250, 0.250).

No. 7
Below is CrIn2 after structural relaxation, with properties calculated at the PBE-GGA level.

The total energy comes out at -4.662 eV/atom. As for the energy of formation: 0.371 eV/atom.

It has space group Cm (No. 8), with a = 11.011 Å, b = 3.342 Å, c = 7.188 Å, α = 90.00°, β = 101.03° and γ = 90.00°. The asymmetric unit holds Cr at (0.000, 0.000, 0.000), Cr at (0.204, 0.500, 0.379), In at (0.080, 0.000, 0.622), In at (0.215, 0.500, 0.990), In at (0.357, 0.000, 0.702) and In at (0.420, 0.000, 0.282).

No. 8
Below is Cr2In after structural relaxation, with properties calculated at the PBE-GGA level.

The total energy comes out at -6.959 eV/atom. As for the energy of formation: 0.370 eV/atom.

It has space group Cmcm (No. 63), with a = 3.119 Å, b = 12.918 Å, c = 4.530 Å, α = 90.00°, β = 90.00° and γ = 90.00°. The asymmetric unit holds Cr at (0.000, 0.106, 0.250), Cr at (0.000, 0.266, 0.750) and In at (0.000, 0.414, 0.250).